Record 1
# Y4Er3Th

A geometry-optimized Y4Er3Th structure (GGA-PBE, Alexandria).

Cell: 5.643 3.532 13.515 Å, 89.99 102.05 90.00°
Fractional positions:
Y  0.604  0.500  0.209
Y  0.396  0.500  0.791
Y  0.277  0.500  0.554
Y  0.723  0.500  0.446
Th  0.500  0.000  0.000
Er  0.000  0.500  0.000
Er  0.843  0.000  0.686
Er  0.157  0.000  0.314

Summary:
The polymorph energy (0 for the lowest one) comes out at 0 meV/atom. The calculation puts the total magnetization at 0.000 μB/f.u. The energy of formation is 234 meV per atom.

Record 2
# VCoTcRu

A geometry-optimized VCoTcRu structure (GGA-PBE, Alexandria).

Cell: 4.218 4.218 4.218 Å, 60.00 60.00 60.00°
Fractional positions:
Ru  0.750  0.750  0.750
Co  0.500  0.500  0.500
Tc  0.250  0.250  0.250
V  0.000  0.000  0.000

Summary:
The calculation puts the total magnetization at 2.274 μB/f.u. The energy of formation is 17 meV per atom.